# 1
Here is a PBEsol-optimized structure of SrCd2Pb2 from Alexandria. Energies are from meta-GGA SCAN.

The space group is I4/mmm (No. 139) and the conventional cell measures 4.5962, 4.5962 and 13.7454 Å, with angles of 90.00, 90.00 and 90.00 degrees. The inequivalent atoms are Sr at (0.0000, 0.0000, 0.0000), Cd at (0.0000, 0.5000, 0.2500) and Pb at (0.0000, 0.0000, 0.3887).

The calculation puts the formation energy at -0.35 eV per atom. The crystal system is tetragonal. Its density of states at the Fermi level is 0.3993 states/eV per atom. The calculation puts the magnetic moment at 0.000 Bohr magnetons per cell.


# 2
Here is a PBEsol-optimized structure of ZrTcTe from Alexandria. Energies are from meta-GGA SCAN.

The space group is P3m1 (No. 156) and the conventional cell measures 3.3053, 3.3053 and 6.3789 Å, with angles of 90.00, 90.00 and 120.00 degrees. The inequivalent atoms are Zr at (0.0000, 0.0000, 0.0000), Tc at (0.3333, 0.6667, 0.7107) and Te at (0.6667, 0.3333, 0.3821).

The crystal system is trigonal. Its formation energy (no corrections) is 0.029 eV/atom. Its density of states at the Fermi level is 0.8010 states/eV per atom. The calculation puts the magnetic moment at 0.000 Bohr magnetons per cell.


# 3
Here is a PBEsol-optimized structure of BeCuRh2 from Alexandria. Energies are from meta-GGA SCAN.

The space group is C2/m (No. 12) and the conventional cell measures 5.1678, 8.0347 and 2.6099 Å, with angles of 90.00, 116.29 and 90.00 degrees. The inequivalent atoms are Be at (0.0000, 0.0000, 0.0000), Cu at (0.0000, 0.5000, 0.0000) and Rh at (0.2500, 0.2500, 0.5000).

The calculation puts the formation energy at -0.05 eV per atom. The crystal system is monoclinic. Its density of states at the Fermi level is 0.8378 states/eV per atom. The calculation puts the magnetic moment at 0.001 Bohr magnetons per cell.


# 4
Here is a PBEsol-optimized structure of MgIn2Ni from Alexandria. Energies are from meta-GGA SCAN.

The space group is F-43m (No. 216) and the conventional cell measures 6.6516, 6.6516 and 6.6516 Å, with angles of 90.00, 90.00 and 90.00 degrees. The inequivalent atoms are Mg at (0.0000, 0.0000, 0.0000), In at (0.0000, 0.0000, 0.5000), In at (0.2500, 0.2500, 0.7500) and Ni at (0.2500, 0.2500, 0.2500).

The calculation puts the formation energy at 0.13 eV per atom. The crystal system is cubic. Its density of states at the Fermi level is 0.3701 states/eV per atom. The calculation puts the magnetic moment at 0.000 Bohr magnetons per cell.


# 5
Here is a PBEsol-optimized structure of BaAsPt2 from Alexandria. Energies are from meta-GGA SCAN.

The space group is Cm (No. 8) and the conventional cell measures 8.9365, 3.9455 and 5.6324 Å, with angles of 90.00, 108.42 and 90.00 degrees. The inequivalent atoms are Ba at (0.0000, 0.0000, 0.0000), As at (0.2899, 0.5000, 0.4045), Pt at (0.2088, 0.0000, 0.5882) and Pt at (0.4986, 0.0000, 0.5249).

The calculation puts the formation energy at -0.83 eV per atom. The crystal system is monoclinic. Its density of states at the Fermi level is 0.1907 states/eV per atom. The calculation puts the magnetic moment at 0.000 Bohr magnetons per cell.


# 6
Here is a PBEsol-optimized structure of Zr2CdFe from Alexandria. Energies are from meta-GGA SCAN.

The space group is Amm2 (No. 38) and the conventional cell measures 4.2282, 3.2737 and 10.7583 Å, with angles of 90.00, 90.00 and 90.00 degrees. The inequivalent atoms are Zr at (0.0000, 0.0000, 0.0000), Zr at (0.5000, 0.0000, 0.3279), Cd at (0.0000, 0.0000, 0.7213) and Fe at (0.5000, 0.0000, 0.5518).

The calculation puts the formation energy at 0.07 eV per atom. The crystal system is orthorhombic. Its density of states at the Fermi level is 0.6519 states/eV per atom. The calculation puts the magnetic moment at 0.001 Bohr magnetons per cell.